(1)
The following is a GGA-PBEsol calculation of crystalline HoBi at its relaxed geometry, from Alexandria via LeMat-Bulk.

* formation energy from the elements: -874 meV per atom
* crystal system: cubic
* total magnetic moment: 0.000 μB per formula unit
* Fermi-level density of states: 0.309 states/eV/f.u.

Cell: 6.199 6.199 6.199 Å, 90.00 90.00 90.00°
Fractional positions:
Ho: 0.000 0.000 0.000
Ho: 0.000 0.500 0.500
Ho: 0.500 0.000 0.500
Ho: 0.500 0.500 0.000
Bi: 0.000 0.000 0.500
Bi: 0.000 0.500 0.000
Bi: 0.500 0.000 0.000
Bi: 0.500 0.500 0.500



(2)
The following is a GGA-PBEsol calculation of crystalline ReAgBr2 at its relaxed geometry, from Alexandria via LeMat-Bulk.

* crystal system: orthorhombic
* total magnetic moment: 0.000 μB per formula unit
* Fermi-level density of states: 3.108 states/eV/f.u.
* energy relative to the elements, uncorrected: 2.78 eV per formula unit

Cell: 2.990 5.584 9.843 Å, 90.00 90.00 90.00°
Fractional positions:
Re: 0.000 0.000 0.000
Re: 0.500 0.500 0.000
Ag: 0.000 0.000 0.500
Ag: 0.500 0.500 0.500
Br: 0.000 0.500 0.205
Br: 0.000 0.500 0.795
Br: 0.500 0.000 0.205
Br: 0.500 0.000 0.795



(3)
The following is a GGA-PBEsol calculation of crystalline YCuSi2 at its relaxed geometry, from Alexandria via LeMat-Bulk.

* crystal system: tetragonal
* total magnetic moment: 0.006 μB per formula unit
* Fermi-level density of states: 3.443 states/eV/f.u.
* energy relative to the elements, uncorrected: -0.88 eV per formula unit

Cell: 3.246 3.246 6.282 Å, 90.00 90.00 90.00°
Fractional positions:
Y: 0.000 0.000 0.000
Cu: 0.000 0.000 0.500
Si: 0.500 0.500 0.312
Si: 0.500 0.500 0.688



(4)
The following is a GGA-PBEsol calculation of crystalline HgIrRu2 at its relaxed geometry, from Alexandria via LeMat-Bulk.

* formation energy from the elements: 329 meV per atom
* crystal system: trigonal
* total magnetic moment: 0.002 μB per formula unit
* Fermi-level density of states: 4.714 states/eV/f.u.

Cell: 2.760 2.760 27.186 Å, 90.00 90.00 120.00°
Fractional positions:
Hg: 0.000 0.000 0.000
Hg: 0.333 0.667 0.667
Hg: 0.667 0.333 0.333
Ir: 0.000 0.000 0.500
Ir: 0.333 0.667 0.167
Ir: 0.667 0.333 0.833
Ru: 0.000 0.000 0.245
Ru: 0.000 0.000 0.755
Ru: 0.333 0.667 0.422
Ru: 0.333 0.667 0.911
Ru: 0.667 0.333 0.089
Ru: 0.667 0.333 0.578



(5)
The following is a GGA-PBEsol calculation of crystalline CoP4H10O16 at its relaxed geometry, from Alexandria via LeMat-Bulk.

* crystal system: triclinic
* total magnetic moment: 3.000 μB per formula unit
* Fermi-level density of states: 3.295 states/eV/f.u.
* uncorrected energy: -6.3277 eV per atom

Cell: 5.201 7.049 8.251 Å, 99.95 98.20 92.20°
Fractional positions:
Co: 0.000 0.000 0.000
P: 0.042 0.325 0.758
P: 0.431 0.825 0.775
P: 0.569 0.175 0.225
P: 0.958 0.675 0.242
H: 0.015 0.643 0.767
H: 0.237 0.125 0.602
H: 0.340 0.310 0.971
H: 0.355 0.906 0.252
H: 0.391 0.428 0.341
H: 0.609 0.572 0.659
H: 0.645 0.094 0.748
H: 0.660 0.690 0.029
H: 0.763 0.875 0.398
H: 0.985 0.357 0.233
O: 0.103 0.494 0.274
O: 0.104 0.224 0.585
O: 0.123 0.814 0.168
O: 0.153 0.817 0.819
O: 0.296 0.395 0.879
O: 0.352 0.164 0.077
O: 0.444 0.642 0.640
O: 0.467 0.009 0.694
O: 0.533 0.991 0.306
O: 0.556 0.358 0.360
O: 0.648 0.836 0.923
O: 0.704 0.605 0.121
O: 0.847 0.183 0.181
O: 0.877 0.186 0.832
O: 0.896 0.776 0.415
O: 0.897 0.506 0.726



(6)
The following is a GGA-PBEsol calculation of crystalline CoSn3Pd at its relaxed geometry, from Alexandria via LeMat-Bulk.

* formation energy from the elements: 169 meV per atom
* crystal system: cubic
* total magnetic moment: 0.001 μB per formula unit
* Fermi-level density of states: 2.816 states/eV/f.u.

Cell: 4.756 4.756 4.756 Å, 90.00 90.00 90.00°
Fractional positions:
Co: 0.000 0.000 0.000
Sn: 0.000 0.000 0.500
Sn: 0.000 0.500 0.000
Sn: 0.500 0.000 0.000
Pd: 0.500 0.500 0.500



(7)
The following is a GGA-PBEsol calculation of crystalline Li3Co4O8 at its relaxed geometry, from Alexandria via LeMat-Bulk.

* crystal system: trigonal
* total magnetic moment: 1.090 μB per formula unit
* Fermi-level density of states: 10.078 states/eV/f.u.
* energy relative to the elements, uncorrected: -21.39 eV per formula unit

Cell: 5.654 5.654 5.654 Å, 59.37 59.37 59.37°
Fractional positions:
Li: 0.000 0.500 0.500
Li: 0.500 0.000 0.500
Li: 0.500 0.500 0.000
Co: 0.000 0.000 0.500
Co: 0.000 0.500 0.000
Co: 0.500 0.000 0.000
Co: 0.500 0.500 0.500
O: 0.239 0.239 0.239
O: 0.239 0.735 0.735
O: 0.265 0.265 0.761
O: 0.265 0.761 0.265
O: 0.735 0.239 0.735
O: 0.735 0.735 0.239
O: 0.761 0.265 0.265
O: 0.761 0.761 0.761



(8)
The following is a GGA-PBEsol calculation of crystalline MgH8N2F4 at its relaxed geometry, from Alexandria via LeMat-Bulk.

* crystal system: monoclinic
* total magnetic moment: 0.037 μB per formula unit
* Fermi-level density of states: 0.000 states/eV/f.u.
* uncorrected energy: -5.0152 eV per atom

Cell: 7.323 5.746 5.670 Å, 90.00 109.63 90.00°
Fractional positions:
Mg: 0.000 0.000 0.000
Mg: 0.000 0.500 0.500
H: 0.219 0.095 0.691
H: 0.219 0.405 0.191
H: 0.293 0.683 0.157
H: 0.293 0.817 0.657
H: 0.297 0.021 0.449
H: 0.297 0.479 0.949
H: 0.463 0.030 0.745
H: 0.463 0.470 0.245
H: 0.537 0.530 0.755
H: 0.537 0.970 0.255
H: 0.703 0.521 0.051
H: 0.703 0.979 0.551
H: 0.707 0.183 0.343
H: 0.707 0.317 0.843
H: 0.781 0.595 0.809
H: 0.781 0.905 0.309
N: 0.319 0.505 0.139
N: 0.319 0.995 0.639
N: 0.681 0.005 0.361
N: 0.681 0.495 0.861
F: 0.025 0.229 0.740
F: 0.025 0.271 0.240
F: 0.288 0.530 0.645
F: 0.288 0.970 0.145
F: 0.712 0.030 0.855
F: 0.712 0.470 0.355
F: 0.975 0.729 0.760
F: 0.975 0.771 0.260



Fermi-level density of states of number 2 (ReAgBr2)?
3.108 states/eV/f.u.